First-principles (GGA-PBE) data for RbBa2AlF8 after structural relaxation, as listed in Alexandria.

Values from the calculation:
- ΔE_f (raw) (meV per atom) = -3532
- DFT total energy (eV per atom) = -5.49
- magnetization (μB per atom) = 0.000

Cell: 4.734 5.545 8.318 Å, 90.00 90.00 99.56°
Atoms (fractional coordinates):
F: 0.915 0.210 0.836
F: 0.085 0.790 0.164
F: 0.646 0.815 0.000
F: 0.915 0.210 0.164
F: 0.085 0.790 0.836
F: 0.427 0.726 0.500
F: 0.354 0.185 0.000
F: 0.573 0.274 0.500
Ba: 0.500 0.500 0.236
Ba: 0.500 0.500 0.764
Al: 0.000 0.000 0.000
Rb: 0.000 0.000 0.500

=====

First-principles (GGA-PBE) data for BaAl2SbF after structural relaxation, as listed in Alexandria.

Values from the calculation:
- ΔE_f (raw) (meV per atom) = -534
- DFT total energy (eV per atom) = -3.61
- magnetization (μB per atom) = 0.000

Cell: 4.803 5.488 4.803 Å, 90.00 90.00 90.00°
Atoms (fractional coordinates):
Al: 0.000 0.000 0.500
Al: 0.500 0.000 0.000
F: 0.000 0.000 0.000
Ba: 0.500 0.500 0.500
Sb: 0.000 0.500 0.000

=====

First-principles (GGA-PBE) data for BaScAl2F after structural relaxation, as listed in Alexandria.

Values from the calculation:
- ΔE_f (raw) (meV per atom) = -561
- DFT total energy (eV per atom) = -4.08
- magnetization (μB per atom) = 0.000

Cell: 4.858 5.020 4.858 Å, 90.00 90.00 90.00°
Atoms (fractional coordinates):
Al: 0.000 0.000 0.500
Al: 0.500 0.000 0.000
F: 0.000 0.000 0.000
Ba: 0.000 0.500 0.000
Sc: 0.500 0.500 0.500

=====

First-principles (GGA-PBE) data for BaAlSiF after structural relaxation, as listed in Alexandria.

Values from the calculation:
- ΔE_f (raw) (meV per atom) = -1636
- DFT total energy (eV per atom) = -4.88
- magnetization (μB per atom) = 0.000

Cell: 4.237 4.237 9.931 Å, 90.00 90.00 90.00°
Atoms (fractional coordinates):
Si: 0.500 0.000 0.149
Si: 0.000 0.500 0.851
Al: 0.500 0.500 0.000
Al: 0.000 0.000 0.000
F: 0.500 0.500 0.500
F: 0.000 0.000 0.500
Ba: 0.000 0.500 0.338
Ba: 0.500 0.000 0.662

=====

First-principles (GGA-PBE) data for BaAl2SnF after structural relaxation, as listed in Alexandria.

Values from the calculation:
- ΔE_f (raw) (meV per atom) = 963
- DFT total energy (eV per atom) = -2.09
- magnetization (μB per atom) = 0.325

Cell: 6.541 6.241 6.541 Å, 90.00 90.00 90.00°
Atoms (fractional coordinates):
Al: 0.000 0.000 0.500
Al: 0.500 0.000 0.000
Ba: 0.000 0.000 0.000
F: 0.500 0.500 0.500
Sn: 0.000 0.500 0.000

=====

First-principles (GGA-PBE) data for Ba2SrAlF after structural relaxation, as listed in Alexandria.

Values from the calculation:
- ΔE_f (raw) (meV per atom) = -1067
- DFT total energy (eV per atom) = -3.29
- magnetization (μB per atom) = 0.000

Cell: 5.592 5.592 5.283 Å, 90.00 90.00 90.00°
Atoms (fractional coordinates):
Ba: 0.000 0.500 0.000
Ba: 0.500 0.000 0.000
F: 0.000 0.000 0.000
Sr: 0.000 0.000 0.500
Al: 0.500 0.500 0.500

=====

First-principles (GGA-PBE) data for BaSr2AlF after structural relaxation, as listed in Alexandria.

Values from the calculation:
- ΔE_f (raw) (meV per atom) = -1069
- DFT total energy (eV per atom) = -3.25
- magnetization (μB per atom) = 0.000

Cell: 5.341 5.341 5.516 Å, 90.00 90.00 90.00°
Atoms (fractional coordinates):
F: 0.000 0.000 0.000
Ba: 0.000 0.000 0.500
Sr: 0.000 0.500 0.000
Sr: 0.500 0.000 0.000
Al: 0.500 0.500 0.500

=====

First-principles (GGA-PBE) data for BaAl2TlF after structural relaxation, as listed in Alexandria.

Values from the calculation:
- ΔE_f (raw) (meV per atom) = 801
- DFT total energy (eV per atom) = -1.93
- magnetization (μB per atom) = 0.197

Cell: 6.376 6.376 6.859 Å, 90.00 90.00 90.00°
Atoms (fractional coordinates):
Tl: 0.000 0.000 0.500
Al: 0.000 0.500 0.000
Al: 0.500 0.000 0.000
Ba: 0.000 0.000 0.000
F: 0.500 0.500 0.500

=====

First-principles (GGA-PBE) data for BaAlTlF6 after structural relaxation, as listed in Alexandria.

Values from the calculation:
- ΔE_f (raw) (meV per atom) = -3237
- DFT total energy (eV per atom) = -5.38
- magnetization (μB per atom) = 0.000

Cell: 6.171 6.171 5.435 Å, 90.02 89.98 59.86°
Atoms (fractional coordinates):
F: 0.333 0.087 0.693
F: 0.088 0.332 0.307
F: 0.333 0.580 0.307
F: 0.581 0.087 0.307
F: 0.580 0.333 0.694
F: 0.086 0.581 0.693
Ba: 0.666 0.666 0.499
Al: 0.333 0.333 0.500
Tl: 0.999 0.999 0.000

=====

First-principles (GGA-PBE) data for BaAlTl2F6 after structural relaxation, as listed in Alexandria.

Values from the calculation:
- ΔE_f (raw) (meV per atom) = -2769
- DFT total energy (eV per atom) = -4.93
- magnetization (μB per atom) = 0.000

Cell: 6.369 6.410 9.045 Å, 90.00 90.00 90.00°
Atoms (fractional coordinates):
F: 0.206 0.546 0.000
F: 0.794 0.546 0.000
F: 0.500 0.250 0.295
F: 0.294 0.045 0.500
F: 0.000 0.750 0.205
F: 0.794 0.955 0.000
F: 0.206 0.955 0.000
F: 0.706 0.454 0.500
F: 0.500 0.250 0.705
F: 0.000 0.750 0.795
F: 0.294 0.454 0.500
F: 0.706 0.045 0.500
Tl: 0.500 0.751 0.751
Tl: 0.000 0.249 0.749
Tl: 0.500 0.751 0.249
Tl: 0.000 0.249 0.251
Ba: 0.500 0.251 0.000
Ba: 0.000 0.749 0.500
Al: 0.500 0.249 0.500
Al: 0.000 0.751 0.000

=====

First-principles (GGA-PBE) data for BaY2AlF after structural relaxation, as listed in Alexandria.

Values from the calculation:
- ΔE_f (raw) (meV per atom) = -219
- DFT total energy (eV per atom) = -4.31
- magnetization (μB per atom) = 0.001

Cell: 6.295 3.957 6.295 Å, 90.00 90.00 90.00°
Atoms (fractional coordinates):
Ba: 0.500 0.500 0.500
Y: 0.000 0.000 0.500
Y: 0.500 0.000 0.000
Al: 0.000 0.000 0.000
F: 0.000 0.500 0.000

=====

First-principles (GGA-PBE) data for BaAl3Fe after structural relaxation, as listed in Alexandria.

Values from the calculation:
- DFT total energy (eV per atom) = -4.58
- magnetization (μB per atom) = 0.000
- energy relative to the elements (eV/f.u.) = -1.3

Cell: 4.709 4.709 4.709 Å, 90.00 90.00 90.00°
Atoms (fractional coordinates):
Fe: 0.000 0.000 0.000
Al: 0.500 0.000 0.000
Al: 0.000 0.500 0.000
Al: 0.000 0.000 0.500
Ba: 0.500 0.500 0.500

=====

| no. | mass density (g/cm³) |
| --- | --- |
| 1 | 4.16 |
| 2 | 4.36 |
| 3 | 3.58 |
| 4 | 3.94 |
| 5 | 2.05 |
| 6 | 4.10 |
| 7 | 3.78 |
| 8 | 2.47 |
| 9 | 4.48 |
| 10 | 6.18 |
| 11 | 3.82 |
| 12 | 4.36 |